Entry 1:
Entry from Alexandria: a geometry-optimized PS2BrCl structure (PBE).

The value obtained for the uncorrected formation energy is 1.36 eV per atom.

It has space group P4/mmm (No. 123), with a = 4.767 Å, b = 4.767 Å, c = 5.494 Å, α = 90.00°, β = 90.00° and γ = 90.00°. The asymmetric unit holds P at (0.000, 0.000, 0.000), S at (0.000, 0.500, 0.500), Br at (0.000, 0.000, 0.500) and Cl at (0.500, 0.500, 0.000).

=====

Entry 2:
Entry from Alexandria: a geometry-optimized Zn2Ni2Pd structure (PBE).

Its formation energy is -175 meV/atom.

It has space group P4/mbm (No. 127), with a = 6.916 Å, b = 6.916 Å, c = 2.746 Å, α = 90.00°, β = 90.00° and γ = 90.00°. The asymmetric unit holds Zn at (0.174, 0.326, 0.000), Ni at (0.122, 0.622, 0.500) and Pd at (0.000, 0.000, 0.500).

=====

Number 1: spin magnetization 0.1540 μB/atom, V 124.9 Å³/f.u., energy relative to the lowest polymorph listed for this composition 836 meV per atom. Number 2: spin magnetization 0.0000 μB/atom, V 65.7 Å³/f.u., energy relative to the lowest polymorph listed for this composition 0 meV per atom.